Model 1:
Computed, not measured: a geometry-optimized CeDyGa structure at the PBE level of DFT. Values from VASP.

**Space-group type**: No. 156

Structure (Quantum ESPRESSO input):
```
&SYSTEM
  ibrav = 0, nat = 3, ntyp = 3
/
ATOMIC_SPECIES
Ce 140.12 Ce.upf
Dy 162.50 Dy.upf
Ga 69.72 Ga.upf
ATOMIC_POSITIONS crystal
Ce 0.000 0.000 0.000
Dy 0.667 0.333 0.581
Ga 0.333 0.667 0.345
CELL_PARAMETERS angstrom
4.958 0.000 0.000
-2.479 4.294 0.000
0.000 0.000 3.599
```

---

Model 2:
Computed, not measured: a geometry-optimized CeDyGa structure at the PBE level of DFT. Values from VASP.

**Space-group type**: No. 166

Structure (Quantum ESPRESSO input):
```
&SYSTEM
  ibrav = 0, nat = 6, ntyp = 3
/
ATOMIC_SPECIES
Ce 140.12 Ce.upf
Dy 162.50 Dy.upf
Ga 69.72 Ga.upf
ATOMIC_POSITIONS crystal
Ce 0.143 0.143 0.143
Ce 0.857 0.857 0.857
Dy 0.290 0.290 0.290
Dy 0.710 0.710 0.710
Ga 0.423 0.423 0.423
Ga 0.577 0.577 0.577
CELL_PARAMETERS angstrom
2.384 1.376 8.039
-2.384 1.376 8.039
0.000 -2.752 8.039
```

---

Model 3:
Computed, not measured: a geometry-optimized CeDyGa structure at the PBE level of DFT. Values from VASP.

**Space-group type**: No. 216

Structure (Quantum ESPRESSO input):
```
&SYSTEM
  ibrav = 0, nat = 3, ntyp = 3
/
ATOMIC_SPECIES
Ce 140.12 Ce.upf
Dy 162.50 Dy.upf
Ga 69.72 Ga.upf
ATOMIC_POSITIONS crystal
Ce 0.000 0.000 0.000
Dy 0.500 0.500 0.500
Ga 0.250 0.250 0.250
CELL_PARAMETERS angstrom
0.000 3.512 3.512
3.512 0.000 3.512
3.512 3.512 0.000
```

---

So which one is most stable? That would be model 2, about 63 meV/atom below the next structure.

---

Model 1:
Computed, not measured: a geometry-optimized CeDy2Ga structure at the PBE level of DFT. Values from VASP.

**Space-group type**: No. 123

Structure (Quantum ESPRESSO input):
```
&SYSTEM
  ibrav = 0, nat = 4, ntyp = 3
/
ATOMIC_SPECIES
Ce 140.12 Ce.upf
Dy 162.50 Dy.upf
Ga 69.72 Ga.upf
ATOMIC_POSITIONS crystal
Ce 0.000 0.000 0.000
Dy 0.000 0.500 0.500
Dy 0.500 0.000 0.500
Ga 0.500 0.500 0.000
CELL_PARAMETERS angstrom
4.765 0.000 0.000
0.000 4.765 0.000
0.000 0.000 4.531
```

---

Model 2:
Computed, not measured: a geometry-optimized CeDy2Ga structure at the PBE level of DFT. Values from VASP.

**Space-group type**: No. 123

Structure (Quantum ESPRESSO input):
```
&SYSTEM
  ibrav = 0, nat = 4, ntyp = 3
/
ATOMIC_SPECIES
Ce 140.12 Ce.upf
Dy 162.50 Dy.upf
Ga 69.72 Ga.upf
ATOMIC_POSITIONS crystal
Ce 0.000 0.000 0.000
Dy 0.500 0.500 0.286
Dy 0.500 0.500 0.714
Ga 0.000 0.000 0.500
CELL_PARAMETERS angstrom
3.487 0.000 0.000
0.000 3.487 0.000
0.000 0.000 8.747
```

---

So which one is most stable? That would be model 2, about 31 meV/atom below the next structure.

---

Model 1:
Computed, not measured: a geometry-optimized CeDyInGa structure at the PBE level of DFT. Values from VASP.

**Space-group type**: No. 99

Structure (Quantum ESPRESSO input):
```
&SYSTEM
  ibrav = 0, nat = 4, ntyp = 4
/
ATOMIC_SPECIES
Ce 140.12 Ce.upf
Dy 162.50 Dy.upf
In 114.82 In.upf
Ga 69.72 Ga.upf
ATOMIC_POSITIONS crystal
Ce 0.000 0.000 0.000
Dy 0.000 0.000 0.462
In 0.500 0.500 0.726
Ga 0.500 0.500 0.237
CELL_PARAMETERS angstrom
3.417 0.000 0.000
0.000 3.417 0.000
0.000 0.000 8.552
```

---

Model 2:
Computed, not measured: a geometry-optimized CeDyInGa structure at the PBE level of DFT. Values from VASP.

**Space-group type**: No. 216

Structure (Quantum ESPRESSO input):
```
&SYSTEM
  ibrav = 0, nat = 4, ntyp = 4
/
ATOMIC_SPECIES
Ce 140.12 Ce.upf
Dy 162.50 Dy.upf
In 114.82 In.upf
Ga 69.72 Ga.upf
ATOMIC_POSITIONS crystal
Ce 0.000 0.000 0.000
Dy 0.500 0.500 0.500
In 0.750 0.750 0.750
Ga 0.250 0.250 0.250
CELL_PARAMETERS angstrom
0.000 3.720 3.720
3.720 0.000 3.720
3.720 3.720 0.000
```

---

So which one is most stable? That would be model 1, about 39 meV/atom below the next structure.

---

Model 1:
Computed, not measured: a geometry-optimized CeDyGaIr structure at the PBE level of DFT. Values from VASP.

**Space-group type**: No. 216

Structure (Quantum ESPRESSO input):
```
&SYSTEM
  ibrav = 0, nat = 4, ntyp = 4
/
ATOMIC_SPECIES
Ce 140.12 Ce.upf
Dy 162.50 Dy.upf
Ga 69.72 Ga.upf
Ir 192.22 Ir.upf
ATOMIC_POSITIONS crystal
Ce 0.000 0.000 0.000
Dy 0.500 0.500 0.500
Ga 0.750 0.750 0.750
Ir 0.250 0.250 0.250
CELL_PARAMETERS angstrom
0.000 3.537 3.537
3.537 0.000 3.537
3.537 3.537 0.000
```

---

Model 2:
Computed, not measured: a geometry-optimized CeDyGaIr structure at the PBE level of DFT. Values from VASP.

**Space-group type**: No. 38

Structure (Quantum ESPRESSO input):
```
&SYSTEM
  ibrav = 0, nat = 4, ntyp = 4
/
ATOMIC_SPECIES
Ce 140.12 Ce.upf
Dy 162.50 Dy.upf
Ga 69.72 Ga.upf
Ir 192.22 Ir.upf
ATOMIC_POSITIONS crystal
Ce 0.000 0.000 0.000
Dy 0.500 0.714 0.714
Ga 0.500 0.421 0.421
Ir 0.000 0.273 0.273
CELL_PARAMETERS angstrom
4.430 0.000 0.000
0.000 2.084 4.987
0.000 -2.084 4.987
```

---

So which one is most stable? That would be model 2, about 99 meV/atom below the next structure.

---

Model 1:
Computed, not measured: a geometry-optimized CeDyGaRh structure at the PBE level of DFT. Values from VASP.

**Space-group type**: No. 216

Structure (Quantum ESPRESSO input):
```
&SYSTEM
  ibrav = 0, nat = 4, ntyp = 4
/
ATOMIC_SPECIES
Ce 140.12 Ce.upf
Dy 162.50 Dy.upf
Ga 69.72 Ga.upf
Rh 102.91 Rh.upf
ATOMIC_POSITIONS crystal
Ce 0.000 0.000 0.000
Dy 0.500 0.500 0.500
Ga 0.750 0.750 0.750
Rh 0.250 0.250 0.250
CELL_PARAMETERS angstrom
0.000 3.539 3.539
3.539 0.000 3.539
3.539 3.539 0.000
```

---

Model 2:
Computed, not measured: a geometry-optimized CeDyGaRh structure at the PBE level of DFT. Values from VASP.

**Space-group type**: No. 38

Structure (Quantum ESPRESSO input):
```
&SYSTEM
  ibrav = 0, nat = 4, ntyp = 4
/
ATOMIC_SPECIES
Ce 140.12 Ce.upf
Dy 162.50 Dy.upf
Ga 69.72 Ga.upf
Rh 102.91 Rh.upf
ATOMIC_POSITIONS crystal
Ce 0.000 0.000 0.000
Dy 0.500 0.719 0.719
Ga 0.000 0.293 0.293
Rh 0.500 0.459 0.459
CELL_PARAMETERS angstrom
3.839 0.000 0.000
0.000 2.104 5.650
0.000 -2.104 5.650
```

---

So which one is most stable? That would be model 2, about 126 meV/atom below the next structure.

---

Model 1:
Computed, not measured: a geometry-optimized Ce2GdDy structure at the PBE level of DFT. Values from VASP.

**Space-group type**: No. 123

Structure (Quantum ESPRESSO input):
```
&SYSTEM
  ibrav = 0, nat = 4, ntyp = 3
/
ATOMIC_SPECIES
Ce 140.12 Ce.upf
Gd 157.25 Gd.upf
Dy 162.50 Dy.upf
ATOMIC_POSITIONS crystal
Ce 0.000 0.500 0.000
Ce 0.500 0.000 0.000
Gd 0.000 0.000 0.500
Dy 0.500 0.500 0.500
CELL_PARAMETERS angstrom
4.925 0.000 0.000
0.000 4.925 0.000
0.000 0.000 5.018
```

---

Model 2:
Computed, not measured: a geometry-optimized Ce2GdDy structure at the PBE level of DFT. Values from VASP.

**Space-group type**: No. 225

Structure (Quantum ESPRESSO input):
```
&SYSTEM
  ibrav = 0, nat = 4, ntyp = 3
/
ATOMIC_SPECIES
Ce 140.12 Ce.upf
Gd 157.25 Gd.upf
Dy 162.50 Dy.upf
ATOMIC_POSITIONS crystal
Ce 0.250 0.250 0.250
Ce 0.750 0.750 0.750
Gd 0.000 0.000 0.000
Dy 0.500 0.500 0.500
CELL_PARAMETERS angstrom
0.000 3.983 3.983
3.983 0.000 3.983
3.983 3.983 0.000
```

---

So which one is most stable? That would be model 1, about 128 meV/atom below the next structure.